Entry from Alexandria: crystalline La2TlSb at its relaxed geometry (PBE).

Computed properties:
uncorrected formation energy = -723 meV per atom
density = 8.2 Mg/m³

a b c (Å): 5.238 5.238 4.449
angles (deg): 90.00 90.00 90.00
Sites, in units of the cell vectors:
La 0.000 0.000 0.000
La 0.500 0.500 0.000
Tl 0.000 0.500 0.500
Sb 0.500 0.000 0.500



Entry from Alexandria: crystalline La2TlSb at its relaxed geometry (PBE).

Computed properties:
uncorrected formation energy = -645 meV per atom
density = 8.0 Mg/m³

a b c (Å): 5.608 5.608 5.608
angles (deg): 60.00 60.00 60.00
Sites, in units of the cell vectors:
Sb 0.000 0.000 0.000
La 0.250 0.250 0.250
La 0.750 0.750 0.750
Tl 0.500 0.500 0.500



Entry from Alexandria: crystalline LaTl2Sb at its relaxed geometry (PBE).

Computed properties:
uncorrected formation energy = -428 meV per atom
density = 8.8 Mg/m³

a b c (Å): 4.274 4.274 6.903
angles (deg): 90.00 90.00 90.00
Sites, in units of the cell vectors:
Tl 0.000 0.000 0.011
Sb 0.500 0.500 0.718
Tl 0.500 0.500 0.239
La 0.000 0.000 0.533



Entry from Alexandria: crystalline LaTl2Sb at its relaxed geometry (PBE).

Computed properties:
uncorrected formation energy = -19 meV per atom
density = 9.2 Mg/m³

a b c (Å): 3.510 3.510 10.429
angles (deg): 90.00 90.00 109.67
Sites, in units of the cell vectors:
Tl 0.000 0.000 0.511
Tl 0.000 0.000 0.989
La 0.500 0.500 0.250
Sb 0.500 0.500 0.750



Entry from Alexandria: crystalline La6Tl2Sb at its relaxed geometry (PBE).

Computed properties:
uncorrected formation energy = -481 meV per atom
density = 7.5 Mg/m³

a b c (Å): 4.456 8.871 8.870
angles (deg): 120.01 90.00 90.00
Site moments in Bohr magnetons follow the coordinates.
Sites, in units of the cell vectors:
La 0.000 0.727 0.727  0.07
La 0.000 0.272 0.000  0.07
La 0.500 0.398 0.398  0.08
Tl 0.000 0.333 0.667  -0.01
Tl 0.000 0.667 0.333  -0.01
Sb 0.500 0.000 0.000  -0.01
La 0.500 0.000 0.602  0.08
La 0.000 0.000 0.273  0.07
La 0.500 0.602 0.000  0.08



Entry from Alexandria: crystalline LaTlSb3 at its relaxed geometry (PBE).

Computed properties:
uncorrected formation energy = 280 meV per atom
density = 5.3 Mg/m³

a b c (Å): 6.074 6.074 6.074
angles (deg): 90.00 90.00 90.00
Sites, in units of the cell vectors:
La 0.000 0.000 0.000
Tl 0.500 0.500 0.500
Sb 0.000 0.500 0.000
Sb 0.500 0.000 0.000
Sb 0.000 0.000 0.500



Entry from Alexandria: crystalline LaTl4Sb at its relaxed geometry (PBE).

Computed properties:
uncorrected formation energy = -38 meV per atom
density = 9.8 Mg/m³

a b c (Å): 6.366 6.366 6.366
angles (deg): 60.00 60.00 60.00
Sites, in units of the cell vectors:
La 0.750 0.750 0.750
Tl 0.375 0.375 0.875
Sb 0.000 0.000 0.000
Tl 0.375 0.375 0.375
Tl 0.375 0.875 0.375
Tl 0.875 0.375 0.375



Entry from Alexandria: crystalline La5TlSb3 at its relaxed geometry (PBE).

Computed properties:
uncorrected formation energy = -928 meV per atom
density = 7.5 Mg/m³

a b c (Å): 6.715 9.836 9.836
angles (deg): 120.00 90.00 90.00
Site moments in Bohr magnetons follow the coordinates.
Sites, in units of the cell vectors:
Sb 0.250 0.000 0.377  0.00
La 0.750 0.721 0.721  0.01
Tl 0.500 0.000 0.000  0.00
La 0.250 0.721 0.000  0.01
Sb 0.750 0.000 0.623  0.00
La 0.000 0.667 0.333  0.09
Sb 0.750 0.623 0.000  0.00
La 0.250 0.279 0.279  0.01
La 0.000 0.333 0.667  0.09
Sb 0.250 0.623 0.623  0.00
La 0.750 0.279 0.000  0.01
Tl 0.000 0.000 0.000  0.00
La 0.500 0.667 0.333  0.09
Sb 0.750 0.377 0.377  0.00
La 0.750 0.000 0.279  0.01
Sb 0.250 0.377 0.000  0.00
La 0.250 0.000 0.721  0.01
La 0.500 0.333 0.667  0.09



Entry from Alexandria: crystalline La2TlSb at its relaxed geometry (PBE).

Computed properties:
uncorrected formation energy = -758 meV per atom
density = 7.7 Mg/m³

a b c (Å): 6.490 6.490 4.594
angles (deg): 89.97 89.97 42.47
Sites, in units of the cell vectors:
La 0.010 0.010 0.125
La 0.743 0.743 0.625
Sb 0.468 0.468 0.625
Tl 0.278 0.278 0.125



Entry from Alexandria: crystalline LaTl2Sb at its relaxed geometry (PBE).

Computed properties:
uncorrected formation energy = -522 meV per atom
density = 9.4 Mg/m³

a b c (Å): 4.764 4.764 5.186
angles (deg): 90.00 90.00 89.98
Sites, in units of the cell vectors:
La 0.500 0.000 0.500
Tl 0.500 0.500 0.000
Tl 0.000 0.000 0.000
Sb 0.000 0.500 0.500



Entry from Alexandria: crystalline La2TlSb at its relaxed geometry (PBE).

Computed properties:
uncorrected formation energy = -765 meV per atom
density = 8.1 Mg/m³

a b c (Å): 4.131 4.137 8.340
angles (deg): 60.26 90.00 90.00
Sites, in units of the cell vectors:
Sb 0.500 0.250 0.250
La 0.000 0.512 0.487
La 0.000 0.988 0.013
Tl 0.500 0.750 0.750



Entry from Alexandria: crystalline La2TlSb at its relaxed geometry (PBE).

Computed properties:
uncorrected formation energy = -733 meV per atom
density = 8.1 Mg/m³

a b c (Å): 8.127 5.565 4.055
angles (deg): 90.05 59.98 123.22
Sites, in units of the cell vectors:
Sb 0.000 0.500 0.500
Tl 0.500 0.500 0.000
La 0.500 0.000 0.500
La 0.000 0.000 0.000



Entry from Alexandria: crystalline La2TlSb at its relaxed geometry (PBE).

Computed properties:
uncorrected formation energy = -700 meV per atom
density = 8.1 Mg/m³

a b c (Å): 5.898 3.551 5.904
angles (deg): 89.99 90.00 90.00
Sites, in units of the cell vectors:
Tl 0.500 0.624 0.875
La 0.500 0.205 0.375
La 0.000 0.045 0.875
Sb 0.000 0.626 0.375



Entry from Alexandria: crystalline La2TlSb at its relaxed geometry (PBE).

Computed properties:
uncorrected formation energy = -113 meV per atom
density = 7.7 Mg/m³

a b c (Å): 11.130 11.130 11.130
angles (deg): 19.18 19.18 19.18
Sites, in units of the cell vectors:
La 0.002 0.002 0.002
La 0.245 0.245 0.245
Sb 0.499 0.499 0.499
Tl 0.755 0.755 0.755



Entry from Alexandria: crystalline La10Tl3Sb3 at its relaxed geometry (PBE).

Computed properties:
uncorrected formation energy = -660 meV per atom
density = 7.3 Mg/m³

a b c (Å): 6.789 9.571 9.571
angles (deg): 120.00 90.00 90.00
Sites, in units of the cell vectors:
La 0.500 0.000 0.754
Sb 0.500 0.384 0.000
La 0.000 0.251 0.000
La 0.000 0.000 0.251
La 0.000 0.749 0.749
La 0.730 0.667 0.333
La 0.270 0.667 0.333
Tl 0.000 0.610 0.000
La 0.500 0.754 0.000
La 0.270 0.333 0.667
La 0.730 0.333 0.667
Tl 0.000 0.000 0.610
La 0.500 0.246 0.246
Sb 0.500 0.000 0.384
Sb 0.500 0.616 0.616
Tl 0.000 0.390 0.390



Entry from Alexandria: crystalline LaTl2Sb at its relaxed geometry (PBE).

Computed properties:
uncorrected formation energy = -472 meV per atom
density = 9.1 Mg/m³

a b c (Å): 6.639 6.639 6.639
angles (deg): 139.55 139.55 58.54
Sites, in units of the cell vectors:
Tl 0.500 0.500 0.000
Tl 0.000 0.000 0.000
Sb 0.750 0.250 0.500
La 0.250 0.750 0.500



Entry from Alexandria: crystalline La4TlSb at its relaxed geometry (PBE).

Computed properties:
uncorrected formation energy = -556 meV per atom
density = 7.2 Mg/m³

a b c (Å): 6.428 6.853 9.701
angles (deg): 90.00 108.96 90.00
Sites, in units of the cell vectors:
La 0.436 0.750 0.654
La 0.964 0.003 0.703
La 0.964 0.497 0.703
Tl 0.353 0.250 0.608
La 0.646 0.250 0.947
Sb 0.193 0.250 0.029
La 0.036 0.997 0.297
La 0.354 0.750 0.053
La 0.564 0.250 0.346
La 0.036 0.503 0.297
Tl 0.647 0.750 0.392
Sb 0.807 0.750 0.971



Entry from Alexandria: crystalline LaTl2Sb at its relaxed geometry (PBE).

Computed properties:
uncorrected formation energy = -220 meV per atom
density = 9.2 Mg/m³

a b c (Å): 5.552 5.552 5.552
angles (deg): 60.00 60.00 60.00
Sites, in units of the cell vectors:
Tl 0.250 0.250 0.250
Tl 0.750 0.750 0.750
La 0.500 0.500 0.500
Sb 0.000 0.000 0.000



Entry from Alexandria: crystalline LaTl2Sb at its relaxed geometry (PBE).

Computed properties:
uncorrected formation energy = -257 meV per atom
density = 9.0 Mg/m³

a b c (Å): 3.514 3.514 10.048
angles (deg): 90.00 90.00 90.00
Sites, in units of the cell vectors:
La 0.000 0.000 0.500
Sb 0.500 0.500 0.732
Tl 0.500 0.500 0.256
Tl 0.000 0.000 0.011



Entry from Alexandria: crystalline LaTlSb3 at its relaxed geometry (PBE).

Computed properties:
uncorrected formation energy = 284 meV per atom
density = 6.6 Mg/m³

a b c (Å): 5.627 5.627 5.627
angles (deg): 90.00 90.00 90.00
Sites, in units of the cell vectors:
Sb 0.000 0.500 0.000
Sb 0.000 0.000 0.500
Tl 0.000 0.000 0.000
Sb 0.500 0.000 0.000
La 0.500 0.500 0.500



| no. | calculated total energy (eV per atom) |
| --- | --- |
| 1 | -4.81 |
| 2 | -4.73 |
| 3 | -3.87 |
| 4 | -3.46 |
| 5 | -4.75 |
| 6 | -3.65 |
| 7 | -3.12 |
| 8 | -5.30 |
| 9 | -4.84 |
| 10 | -3.97 |
| 11 | -4.85 |
| 12 | -4.82 |
| 13 | -4.79 |
| 14 | -4.20 |
| 15 | -4.96 |
| 16 | -3.92 |
| 17 | -4.92 |
| 18 | -3.67 |
| 19 | -3.70 |
| 20 | -3.65 |